A plane-wave DFT calculation with PBE was carried out for V3NiSb after structural relaxation.

Output
Formation energy (no corrections) = 39.57 kcal/mol of atoms
Polymorph energy (0 for the lowest one) = 1124 meV/atom

a = 5.032 Å, b = 5.032 Å, c = 5.032 Å
α = 90.00°, β = 90.00°, γ = 90.00°
Each line ends with the local moment (μB).
Sites, in units of the cell vectors:
Sb  0.000  0.000  0.000  -0.09
Ni  0.500  0.500  0.500  -0.46
V  0.000  0.500  0.000  2.69
V  0.000  0.000  0.500  2.69
V  0.500  0.000  0.000  2.69